(1)
Material: Nd8Sm3Ho2
Method: DFT, GGA-PBE
State: optimized geometry

- Energy relative to the elements: 208 meV per atom
- Crystal system: monoclinic

a b c (Å): 20.490 7.746 5.806
angles (deg): 90.00 90.02 90.00
Space group C2/m (No. 12)
Symmetry-distinct sites (fractional):
Nd: 0.107 0.207 0.000 (multiplicity 8)
Nd: 0.134 0.500 0.500 (multiplicity 4)
Nd: 0.174 0.000 0.501 (multiplicity 4)
Sm: 0.000 0.213 0.500 (multiplicity 4)
Sm: 0.000 0.500 0.000 (multiplicity 2)
Ho: 0.241 0.500 0.999 (multiplicity 4)

=====

(2)
Material: Nd6SmHo4
Method: DFT, GGA-PBE
State: optimized geometry

- Energy relative to the elements: 306 meV per atom
- Crystal system: tetragonal
- Polymorph energy (0 for the lowest one): 195 meV per atom

a b c (Å): 6.734 6.734 16.980
angles (deg): 90.00 90.00 90.00
Space group I-42m (No. 121)
Symmetry-distinct sites (fractional):
Nd: 0.000 0.500 0.000 (multiplicity 4)
Nd: 0.190 0.190 0.177 (multiplicity 8)
Sm: 0.000 0.000 0.000 (multiplicity 2)
Ho: 0.178 0.178 0.377 (multiplicity 8)